## LiMg2Ta (meta-GGA SCAN)

Data for LiMg2Ta at its PBEsol-relaxed geometry.

The space group is Pmm2 (No. 25) and the conventional cell measures 2.778, 4.527 and 5.933 Å, with angles of 90.00, 90.00 and 90.00 degrees. The distinct sites, in fractional coordinates, are Li at (0.000, 0.000, 0.000), Mg at (0.000, 0.000, 0.524), Mg at (0.500, 0.500, 0.249) and Ta at (0.500, 0.500, 0.754).

Its volume is 18.657 A^3/atom. The energy of formation comes out at 1.54 eV/f.u.

=====

## RbBa2HgCl (meta-GGA SCAN)

Data for RbBa2HgCl at its PBEsol-relaxed geometry.

The space group is P4/mmm (No. 123) and the conventional cell measures 6.873, 6.873 and 5.516 Å, with angles of 90.00, 90.00 and 90.00 degrees. The distinct sites, in fractional coordinates, are Rb at (0.000, 0.000, 0.000), Ba at (0.000, 0.500, 0.000), Hg at (0.500, 0.500, 0.500) and Cl at (0.000, 0.000, 0.500).

The electronic total energy is -35.35 eV/atom. Its volume is 52.109 A^3/atom.

=====

## KTlCo4Se4 (meta-GGA SCAN)

Data for KTlCo4Se4 at its PBEsol-relaxed geometry.

The space group is P4/mmm (No. 123) and the conventional cell measures 3.788, 3.788 and 13.069 Å, with angles of 90.00, 90.00 and 90.00 degrees. The distinct sites, in fractional coordinates, are K at (0.000, 0.000, 0.000), Tl at (0.500, 0.500, 0.500), Co at (0.000, 0.500, 0.249), Se at (0.000, 0.000, 0.351) and Se at (0.500, 0.500, 0.149).

The electronic total energy is -23.33 eV/atom. Its volume is 18.757 A^3/atom.

=====

## Co2PBr (meta-GGA SCAN)

Data for Co2PBr at its PBEsol-relaxed geometry.

The space group is Pm (No. 6) and the conventional cell measures 3.603, 3.605 and 5.128 Å, with angles of 90.00, 90.09 and 90.00 degrees. The distinct sites, in fractional coordinates, are Co at (0.000, 0.000, 0.000), Co at (0.500, 0.500, 0.000), P at (0.001, 0.500, 0.225) and Br at (0.499, 0.000, 0.703).

The electronic total energy is -16.04 eV/atom. Its volume is 16.651 A^3/atom.

=====

## BaHg2Br (meta-GGA SCAN)

Data for BaHg2Br at its PBEsol-relaxed geometry.

The space group is P4/mmm (No. 123) and the conventional cell measures 4.617, 4.617 and 6.208 Å, with angles of 90.00, 90.00 and 90.00 degrees. The distinct sites, in fractional coordinates, are Ba at (0.000, 0.000, 0.000), Hg at (0.500, 0.500, 0.261) and Br at (0.000, 0.000, 0.500).

The electronic total energy is -49.71 eV/atom. Its volume is 33.092 A^3/atom.

=====

## InHgTe2 (meta-GGA SCAN)

Data for InHgTe2 at its PBEsol-relaxed geometry.

The space group is I4/mmm (No. 139) and the conventional cell measures 4.353, 4.353 and 11.968 Å, with angles of 90.00, 90.00 and 90.00 degrees. The distinct sites, in fractional coordinates, are In at (0.000, 0.000, 0.000), Hg at (0.000, 0.000, 0.500) and Te at (0.000, 0.500, 0.250).

The electronic total energy is -44.02 eV/atom. Its volume is 28.351 A^3/atom.